Compound: Nd4PdSeS2
Source: Alexandria
Functional: PBE-GGA
Structure: relaxed

Properties
The total magnetization is 0.000 μB/cell. Its volume is 202.7 Å³ per cell. The calculation puts the density of states at the Fermi level at 3.35 states/eV per cell. The calculation puts the energy relative to the elements, uncorrected at -1.632 eV/atom. Its final energy is -0.4507 Ry per atom.

Lattice parameters (Å, degrees): 7.2321 4.0906 7.2432 90.00 108.96 90.00
With the nearest neighbours (Å) after each atom.
Fractional positions:
1 Nd 0.2459 0.0000 0.2351  3 S 2.88, 2 Se 2.99, 1 Pd 3.01
2 Nd 0.2499 0.5000 0.7579  3 S 2.90-2.91, 2 Pd 2.96, 1 Se 2.99
3 Nd 0.7501 0.5000 0.2421  3 S 2.90-2.91, 2 Pd 2.96, 1 Se 2.99
4 Nd 0.7541 0.0000 0.7649  3 S 2.88, 2 Se 2.99, 1 Pd 3.01
5 Pd 0.0000 0.0000 0.5000  6 Nd 2.96-3.01
6 Se 0.5000 0.5000 0.5000  6 Nd 2.99
7 S 0.0000 0.5000 0.0000  6 Nd 2.88-2.90
8 S 0.5000 0.0000 0.0000  6 Nd 2.88-2.91